(1)
Here is a relaxed GdYAlNi2 crystal from OQMD. Energies are from GGA-PBE.

a = 4.191 Å, b = 5.402 Å, c = 8.339 Å
α = 90.00°, β = 90.00°, γ = 90.00°
Space group Imm2 (No. 44)
Symmetry-distinct sites (fractional):
Gd  0.000  0.000  0.000 [2 per cell]
Y  0.000  0.000  0.591 [2 per cell]
Al  0.000  0.500  0.796 [2 per cell]
Ni  0.000  0.267  0.296 [4 per cell]

---

(2)
Here is a relaxed GdY2Al3Ni3 crystal from OQMD. Energies are from GGA-PBE.

a = 3.939 Å, b = 11.986 Å, c = 6.961 Å
α = 90.00°, β = 90.00°, γ = 90.00°
Space group Amm2 (No. 38)
Symmetry-distinct sites (fractional):
Gd  0.000  0.000  0.000 [2 per cell]
Y  0.000  0.208  0.624 [4 per cell]
Al  0.500  0.000  0.650 [2 per cell]
Al  0.500  0.118  0.300 [4 per cell]
Ni  0.000  0.000  0.417 [2 per cell]
Ni  0.500  0.166  0.917 [4 per cell]

---

(3)
Here is a relaxed GdYAl2Ni4 crystal from OQMD. Energies are from GGA-PBE.

a = 4.1445 Å, b = 4.1445 Å, c = 8.9959 Å
α = 90.00°, β = 90.00°, γ = 120.00°
Space group P-6m2 (No. 187)
Symmetry-distinct sites (fractional):
Gd  0.0000  0.0000  0.0000 [1 per cell]
Y  0.3333  0.6667  0.5000 [1 per cell]
Al  0.6667  0.3333  0.2521 [2 per cell]
Ni  0.0000  0.0000  0.3115 [2 per cell]
Ni  0.3333  0.6667  0.1894 [2 per cell]

---

(4)
Here is a relaxed Gd2Al3ZnNi2 crystal from OQMD. Energies are from GGA-PBE.

a = 10.037 Å, b = 4.082 Å, c = 7.014 Å
α = 90.00°, β = 90.37°, γ = 90.00°
Space group Cm (No. 8)
Symmetry-distinct sites (fractional):
Gd  0.000  0.000  0.000 [2 per cell]
Gd  0.121  0.000  0.494 [2 per cell]
Al  0.217  0.500  0.802 [2 per cell]
Al  0.399  0.000  0.300 [2 per cell]
Al  0.405  0.000  0.689 [2 per cell]
Zn  0.213  0.500  0.190 [2 per cell]
Ni  0.281  0.000  0.988 [2 per cell]
Ni  0.344  0.500  0.498 [2 per cell]

---

(5)
Here is a relaxed GdZrAl2Ni4 crystal from OQMD. Energies are from GGA-PBE.

a = 4.1335 Å, b = 4.1335 Å, c = 8.4599 Å
α = 90.00°, β = 90.00°, γ = 120.00°
Space group P-6m2 (No. 187)
Symmetry-distinct sites (fractional):
Gd  0.0000  0.0000  0.0000 [1 per cell]
Zr  0.3333  0.6667  0.5000 [1 per cell]
Al  0.6667  0.3333  0.2660 [2 per cell]
Ni  0.0000  0.0000  0.3401 [2 per cell]
Ni  0.3333  0.6667  0.1884 [2 per cell]

---

(6)
Here is a relaxed GdAlO3 crystal from OQMD. Energies are from GGA-PBE.

a = 5.2384 Å, b = 5.2384 Å, c = 14.5313 Å
α = 90.00°, β = 90.00°, γ = 120.00°
Space group R-3 (No. 148, hexagonal axes)
Symmetry-distinct sites (fractional):
Gd  0.0000  0.0000  0.1299 [6 per cell]
Al  0.0000  0.0000  0.3437 [6 per cell]
O  0.0142  0.6172  0.9254 [18 per cell]

---

(7)
Here is a relaxed GdAlO3 crystal from OQMD. Energies are from GGA-PBE.

a = 5.333 Å, b = 7.428 Å, c = 5.221 Å
α = 90.00°, β = 90.00°, γ = 90.00°
Space group Pnma (No. 62)
Symmetry-distinct sites (fractional):
Gd  0.047  0.250  0.011 [4 per cell]
Al  0.000  0.000  0.500 [4 per cell]
O  0.019  0.750  0.421 [4 per cell]
O  0.210  0.542  0.789 [8 per cell]

---

(8)
Here is a relaxed Gd4Al4O11 crystal from OQMD. Energies are from GGA-PBE.

a = 5.222 Å, b = 5.287 Å, c = 7.427 Å
α = 89.94°, β = 89.93°, γ = 89.61°
Space group P1 (No. 1)
Symmetry-distinct sites (fractional):
Gd  0.000  0.000  0.000 [1 per cell]
Gd  0.018  0.083  0.501 [1 per cell]
Gd  0.497  0.582  0.506 [1 per cell]
Gd  0.520  0.501  0.003 [1 per cell]
Al  0.010  0.543  0.252 [1 per cell]
Al  0.013  0.538  0.751 [1 per cell]
Al  0.507  0.044  0.752 [1 per cell]
Al  0.510  0.043  0.252 [1 per cell]
O  0.087  0.555  0.001 [1 per cell]
O  0.224  0.829  0.292 [1 per cell]
O  0.225  0.828  0.711 [1 per cell]
O  0.297  0.330  0.295 [1 per cell]
O  0.432  0.061  0.001 [1 per cell]
O  0.582  0.031  0.503 [1 per cell]
O  0.724  0.756  0.792 [1 per cell]
O  0.724  0.757  0.210 [1 per cell]
O  0.793  0.257  0.791 [1 per cell]
O  0.797  0.255  0.211 [1 per cell]
O  0.933  0.528  0.502 [1 per cell]

---

| no. | total magnetic moment (μB per atom) | electronic total energy (eV per atom) |
| --- | --- | --- |
| 1 | 0.000 | -5.735 |
| 2 | 0.002 | -5.656 |
| 3 | 0.000 | -5.689 |
| 4 | 0.000 | -4.682 |
| 5 | 0.000 | -5.955 |
| 6 | 0.000 | -7.780 |
| 7 | 0.000 | -7.964 |
| 8 | 0.000 | -7.781 |